## Cs3CePa3Se8 (PBE)

Data for a relaxed Cs3CePa3Se8 crystal.

Unit cell a=8.4422 b=8.4426 c=9.8976 alpha=115.27 beta=90.00 gamma=120.00
Each line ends with the local moment (μB).
Fractional positions:
Cs (0.0000, 0.0000, 0.0000)  0.01
Cs (0.0000, 0.5000, 0.0000)  0.01
Cs (0.5000, 0.5000, 0.0000)  0.01
Ce (0.0000, 0.0000, 0.5000)  1.04
Pa (0.5000, 0.0000, 0.5000)  1.31
Pa (0.5000, 0.5000, 0.5000)  1.31
Pa (0.0000, 0.5000, 0.5000)  1.31
Se (0.2703, 0.5405, 0.3109)  -0.03
Se (0.7297, 0.4595, 0.6891)  -0.03
Se (0.7655, 0.5310, 0.3115)  -0.03
Se (0.2345, 0.4690, 0.6885)  -0.03
Se (0.7655, 0.0458, 0.3115)  -0.03
Se (0.2345, 0.9542, 0.6885)  -0.03
Se (0.2803, 0.0458, 0.3115)  -0.03
Se (0.7197, 0.9542, 0.6885)  -0.03

Values from the calculation:
ρ   5.8 g/cm³
Symmetry   No. 166
Raw formation energy   -1.423 eV per atom